Compound: SrCa3Pt
Source: Alexandria
Functional: PBE
Structure: optimized geometry

Unit cell a=9.561 b=9.561 c=9.561 alpha=44.79 beta=44.79 gamma=44.79
Atoms (fractional coordinates):
Sr: 0.185 0.185 0.185
Sr: 0.815 0.815 0.815
Ca: 0.119 0.700 0.340
Ca: 0.300 0.660 0.881
Ca: 0.340 0.119 0.700
Ca: 0.660 0.881 0.300
Ca: 0.700 0.340 0.119
Ca: 0.881 0.300 0.660
Pt: 0.307 0.307 0.307
Pt: 0.693 0.693 0.693


Compound: SrCaPt10
Source: Alexandria
Functional: PBE
Structure: optimized geometry

Unit cell a=4.407 b=5.457 c=9.405 alpha=90.00 beta=90.00 gamma=90.00
Atoms (fractional coordinates):
Sr: 0.000 0.000 0.000
Ca: 0.000 0.500 0.500
Pt: 0.000 0.000 0.338
Pt: 0.000 0.000 0.662
Pt: 0.000 0.500 0.171
Pt: 0.000 0.500 0.829
Pt: 0.500 0.000 0.500
Pt: 0.500 0.251 0.252
Pt: 0.500 0.251 0.748
Pt: 0.500 0.500 0.000
Pt: 0.500 0.749 0.252
Pt: 0.500 0.749 0.748


Compound: SrCa2Pt
Source: Alexandria
Functional: PBE
Structure: optimized geometry

Unit cell a=4.797 b=4.797 c=5.131 alpha=90.00 beta=90.00 gamma=90.00
Atoms (fractional coordinates):
Sr: 0.000 0.000 0.000
Ca: 0.000 0.500 0.500
Ca: 0.500 0.000 0.500
Pt: 0.500 0.500 0.000


Compound: Sr2CaPt
Source: Alexandria
Functional: PBE
Structure: optimized geometry

Unit cell a=4.210 b=9.971 c=7.152 alpha=90.00 beta=106.98 gamma=90.00
Atoms (fractional coordinates):
Sr: 0.147 0.068 0.293
Sr: 0.147 0.432 0.293
Sr: 0.853 0.568 0.707
Sr: 0.853 0.932 0.707
Ca: 0.408 0.250 0.818
Ca: 0.592 0.750 0.182
Pt: 0.237 0.750 0.474
Pt: 0.763 0.250 0.526


Compound: Sr3CaPt
Source: Alexandria
Functional: PBE
Structure: optimized geometry

Unit cell a=6.232 b=6.232 c=6.232 alpha=90.00 beta=90.00 gamma=90.00
Atoms (fractional coordinates):
Sr: 0.000 0.000 0.500
Sr: 0.000 0.500 0.000
Sr: 0.500 0.000 0.000
Ca: 0.000 0.000 0.000
Pt: 0.500 0.500 0.500


Compound: SrCa8Pt6
Source: Alexandria
Functional: PBE
Structure: optimized geometry

Unit cell a=7.832 b=7.832 c=7.832 alpha=67.07 beta=67.07 gamma=67.07
Atoms (fractional coordinates):
Sr: 0.000 0.000 0.000
Ca: 0.110 0.776 0.448
Ca: 0.224 0.552 0.890
Ca: 0.334 0.334 0.334
Ca: 0.448 0.110 0.776
Ca: 0.552 0.890 0.224
Ca: 0.666 0.666 0.666
Ca: 0.776 0.448 0.110
Ca: 0.890 0.224 0.552
Pt: 0.057 0.396 0.716
Pt: 0.284 0.943 0.604
Pt: 0.396 0.716 0.057
Pt: 0.604 0.284 0.943
Pt: 0.716 0.057 0.396
Pt: 0.943 0.604 0.284


Compound: SrCa2Pt
Source: Alexandria
Functional: PBE
Structure: optimized geometry

Unit cell a=6.236 b=6.236 c=6.877 alpha=117.14 beta=117.14 gamma=37.13
Atoms (fractional coordinates):
Sr: 0.000 0.000 0.000
Ca: 0.642 0.642 0.655
Ca: 0.822 0.822 0.319
Pt: 0.281 0.281 0.993


Compound: SrCa2Pt
Source: Alexandria
Functional: PBE
Structure: optimized geometry

Unit cell a=6.724 b=6.724 c=4.207 alpha=90.00 beta=90.00 gamma=125.77
Atoms (fractional coordinates):
Sr: 0.000 0.000 0.000
Ca: 0.343 0.657 0.500
Ca: 0.657 0.343 0.500
Pt: 0.500 0.500 0.000


The evaluated energy of formation from the pure elements for the records listed, in turn: -380.9; -548.0; -238.9; -552.0; 1087.9; -802.8; -496.6; -490.7 meV/atom.
The evaluated final energy for the records listed, in turn: -31.264; -70.667; -12.681; -27.228; -7.648; -65.981; -13.712; -13.689 eV per cell.